## CsOsS3 (PBE-GGA)

Data for crystalline CsOsS3 at its relaxed geometry.

Output
Polymorph energy (0 for the lowest one): 0.000 eV/atom
Magnetization: 0.00 μB/f.u.
Mass density: 5.115 g cm⁻³
Uncorrected formation energy: -493 meV/atom

Cell: 5.824 7.347 7.347 Å, 120.00 90.00 90.00°
Positions (direct):
S1 0.250 0.294 0.147
S2 0.750 0.147 0.853
S3 0.750 0.147 0.294
S4 0.250 0.853 0.147
S5 0.750 0.706 0.853
S6 0.250 0.853 0.706
Os1 0.000 0.000 0.000
Os2 0.500 0.000 0.000
Cs1 0.750 0.667 0.333
Cs2 0.250 0.333 0.667